# Ge2HRu2 GGA-PBE relaxed
# Symmetry: I4/mmm
# Energy above the lowest structure with this stoichiometry in meV/atom: 360
# Total DFT energy (no corrections) in eV per atom: -5.640
data_Ge2HRu2
_chemical_formula_sum 'Ge2 H1 Ru2'
_cell_length_a 3.925
_cell_length_b 3.925
_cell_length_c 6.082
_cell_angle_alpha 71.18
_cell_angle_beta 71.18
_cell_angle_gamma 90.00
_symmetry_space_group_name_H-M 'P 1'
_symmetry_Int_Tables_number 1
loop_
_symmetry_equiv_pos_as_xyz
'x,y,z'
loop_
_atom_site_label
_atom_site_type_symbol
_atom_site_fract_x
_atom_site_fract_y
_atom_site_fract_z
Ru1 Ru 0.750 0.250 0.500
Ru2 Ru 0.250 0.750 0.500
Ge1 Ge 0.388 0.388 0.224
Ge2 Ge 0.612 0.612 0.776
H1 H 0.000 0.000 0.000